{
  "formula": "CrSbPtPb2",
  "functional": "PBE-GGA",
  "state": "optimized geometry",
  "sg": "P4/mmm",
  "crystal_system": "tetragonal",
  "m_tot_mub_per_cell": 2.75,
  "dft_energy_ev_per_atom": -4.83,
  "raw_formation_energy_ev_per_atom": 0.6145,
  "lattice_angstrom": [[5.286, 0.000, 0.000], [0.000, 4.737, 0.000], [0.000, 0.000, 5.286]],
  "species": ["Pb", "Pb", "Sb", "Pt", "Cr"],
  "fractional_positions": [[0.000, 0.000, 0.500], [0.500, 0.000, 0.000], [0.500, 0.500, 0.500], [0.000, 0.500, 0.000], [0.000, 0.000, 0.000]]
}